Crystalline Pa2ReAu at its relaxed geometry. Source: Alexandria, functional PBE.

Computed properties:
Crystal system ... cubic
Total magnetization ... 0.0004 μB per atom
ΔE to the lowest computed polymorph ... 13.6 kJ per mole of atoms
Raw total energy ... -8.720 eV/atom

a b c (Å): 4.984 4.984 4.984
angles (deg): 60.00 60.00 60.00
Element x y z (fractional)
Pa1 0.250 0.250 0.250
Pa2 0.750 0.750 0.750
Re1 0.000 0.000 0.000
Au1 0.500 0.500 0.500



Crystalline ScNiPtRh2 at its relaxed geometry. Source: Alexandria, functional PBE.

Computed properties:
Crystal system ... tetragonal
Total magnetization ... 0.0000 μB per atom
Raw total energy ... -5.577 eV/atom

a b c (Å): 4.804 4.804 4.798
angles (deg): 90.00 90.00 90.00
Element x y z (fractional)
Sc1 0.000 0.000 0.000
Ni1 0.500 0.500 0.000
Pt1 0.000 0.000 0.500
Rh1 0.000 0.500 0.500
Rh2 0.500 0.000 0.500



Crystalline CaLa2Re2 at its relaxed geometry. Source: Alexandria, functional PBE.

Computed properties:
Crystal system ... tetragonal
Total magnetization ... 0.0000 μB per atom
ΔE to the lowest computed polymorph ... 0.0 kJ per mole of atoms
Raw total energy ... -6.926 eV/atom

a b c (Å): 8.167 8.167 4.168
angles (deg): 90.00 90.00 90.00
Element x y z (fractional)
Ca1 0.000 0.000 0.000
Ca2 0.500 0.500 0.000
La1 0.175 0.325 0.500
La2 0.325 0.825 0.500
La3 0.675 0.175 0.500
La4 0.825 0.675 0.500
Re1 0.101 0.601 0.000
Re2 0.399 0.101 0.000
Re3 0.601 0.899 0.000
Re4 0.899 0.399 0.000



Crystalline LiAgPAu at its relaxed geometry. Source: Alexandria, functional PBE.

Computed properties:
Crystal system ... cubic
Total magnetization ... 0.0000 μB per atom
Raw total energy ... -3.493 eV/atom

a b c (Å): 4.481 4.481 4.481
angles (deg): 60.00 60.00 60.00
Element x y z (fractional)
Li1 0.000 0.000 0.000
Ag1 0.750 0.750 0.750
P1 0.500 0.500 0.500
Au1 0.250 0.250 0.250



Crystalline BeZn3Pd6 at its relaxed geometry. Source: Alexandria, functional PBE.

Computed properties:
Crystal system ... monoclinic
Total magnetization ... 0.0000 μB per atom
Raw total energy ... -4.341 eV/atom

a b c (Å): 7.361 4.384 9.248
angles (deg): 90.00 108.57 90.00
Element x y z (fractional)
Be1 0.042 0.250 0.412
Be2 0.958 0.750 0.588
Zn1 0.220 0.250 0.016
Zn2 0.380 0.750 0.784
Zn3 0.471 0.250 0.617
Zn4 0.529 0.750 0.383
Zn5 0.620 0.250 0.216
Zn6 0.780 0.750 0.984
Pd1 0.079 0.750 0.857
Pd2 0.143 0.750 0.175
Pd3 0.150 0.250 0.681
Pd4 0.233 0.750 0.496
Pd5 0.327 0.250 0.326
Pd6 0.464 0.750 0.084
Pd7 0.536 0.250 0.916
Pd8 0.673 0.750 0.674
Pd9 0.767 0.250 0.504
Pd10 0.850 0.750 0.319
Pd11 0.857 0.250 0.825
Pd12 0.921 0.250 0.143



Crystalline CoTc2W at its relaxed geometry. Source: Alexandria, functional PBE.

Computed properties:
Crystal system ... orthorhombic
Total magnetization ... 0.4750 μB per atom
ΔE to the lowest computed polymorph ... 18.0 kJ per mole of atoms
Raw total energy ... -9.979 eV/atom

a b c (Å): 5.035 5.035 5.035
angles (deg): 143.68 129.69 63.61
Element x y z (fractional)
Co1 0.000 0.000 0.000
Tc1 0.258 0.758 0.500
Tc2 0.742 0.242 0.500
W1 0.500 0.500 0.000



Crystalline SmHg8 at its relaxed geometry. Source: Alexandria, functional PBE.

Computed properties:
Crystal system ... tetragonal
Total magnetization ... 0.0000 μB per atom
Raw total energy ... -0.949 eV/atom

a b c (Å): 7.493 7.493 7.493
angles (deg): 95.13 95.13 145.21
Element x y z (fractional)
Sm1 0.000 0.000 0.000
Hg1 0.000 0.334 0.334
Hg2 0.000 0.666 0.666
Hg3 0.333 0.333 0.665
Hg4 0.333 0.667 0.000
Hg5 0.334 0.000 0.334
Hg6 0.666 0.000 0.666
Hg7 0.667 0.333 0.000
Hg8 0.667 0.667 0.335



Crystalline Pa3Ga5Pd at its relaxed geometry. Source: Alexandria, functional PBE.

Computed properties:
Crystal system ... hexagonal
Total magnetization ... 0.0000 μB per atom
Raw total energy ... -5.731 eV/atom

a b c (Å): 8.533 8.533 5.855
angles (deg): 90.00 90.00 120.00
Element x y z (fractional)
Pa1 0.000 0.390 0.250
Pa2 0.000 0.610 0.750
Pa3 0.390 0.000 0.250
Pa4 0.390 0.390 0.750
Pa5 0.610 0.000 0.750
Pa6 0.610 0.610 0.250
Ga1 0.000 0.262 0.750
Ga2 0.000 0.738 0.250
Ga3 0.262 0.000 0.750
Ga4 0.262 0.262 0.250
Ga5 0.333 0.667 0.000
Ga6 0.333 0.667 0.500
Ga7 0.667 0.333 0.000
Ga8 0.667 0.333 0.500
Ga9 0.738 0.000 0.250
Ga10 0.738 0.738 0.750
Pd1 0.000 0.000 0.000
Pd2 0.000 0.000 0.500